# 1
Material: BaNa2I
Method: DFT, PBE
State: optimized geometry

Lattice parameters (Å, degrees): 6.198 6.198 6.198 60.00 60.00 60.00
Fractional coordinates of all 4 atoms:
Na (0.750, 0.750, 0.750)
Na (0.250, 0.250, 0.250)
Ba (0.500, 0.500, 0.500)
I (0.000, 0.000, 0.000)

Properties
The calculation puts the polymorph energy (0 for the lowest one) at 25.95 kJ per mole of atoms. As for the crystal system: cubic. The mass density is 3.06 g/cm³. For the magnetization, the calculation gives 0.00 μB per formula unit. The uncorrected formation energy comes out at -0.218 eV/atom.

***

# 2
Material: BaNaI2
Method: DFT, PBE
State: optimized geometry

Lattice parameters (Å, degrees): 4.597 4.597 9.210 75.55 75.55 60.00
Last column: magnetic moment on the atom in μB.
Fractional coordinates of all 4 atoms:
Ba (0.500, 0.500, 0.501)  0.23
I (0.261, 0.261, 0.217)  0.01
I (0.072, 0.072, 0.785)  0.01
Na (0.668, 0.668, 0.997)  0.00

Properties
The calculation puts the polymorph energy (0 for the lowest one) at 0.00 kJ per mole of atoms. As for the crystal system: trigonal. The mass density is 4.26 g/cm³. For the magnetization, the calculation gives 0.95 μB per formula unit. The uncorrected formation energy comes out at -1.262 eV/atom.

***

# 3
Material: BaNa2I4
Method: DFT, PBE
State: optimized geometry

Lattice parameters (Å, degrees): 4.730 8.023 15.633 90.00 90.00 107.15
Fractional coordinates of all 14 atoms:
Na (0.127, 0.254, 0.439)
Na (0.873, 0.746, 0.561)
Na (0.127, 0.254, 0.061)
Na (0.873, 0.746, 0.939)
I (0.776, 0.552, 0.382)
I (0.050, 0.099, 0.250)
I (0.224, 0.448, 0.882)
I (0.500, 0.000, 0.000)
I (0.500, 0.000, 0.500)
I (0.950, 0.901, 0.750)
I (0.776, 0.552, 0.118)
I (0.224, 0.448, 0.618)
Ba (0.384, 0.769, 0.250)
Ba (0.616, 0.231, 0.750)

Properties
As for the crystal system: orthorhombic. The mass density is 4.05 g/cm³. For the magnetization, the calculation gives 0.00 μB per formula unit. The uncorrected formation energy comes out at -1.472 eV/atom.